LaCr2Rh | PBE | relaxed

Properties
Energy of formation (eV/atom): 0.548
Symmetry: I4_1/amd, No. 141

Cell and atoms, written as POSCAR:
```
LaCr2Rh
1.0
4.210 0.000 0.000
0.000 4.210 0.000
2.105 2.105 9.370
Cr Rh La
4 2 2
Direct
0.375 0.125 0.250
0.375 0.625 0.250
0.375 0.625 0.750
0.875 0.625 0.750
0.500 0.500 0.000
0.250 0.750 0.500
0.000 0.000 0.000
0.750 0.250 0.500
```